Entry 1:
# VAgNO2 | the Alexandria database | GGA+U | optimized geometry
data_VAgNO2
_chemical_formula_sum 'V1 Ag1 N1 O2'
_cell_length_a 3.783
_cell_length_b 3.783
_cell_length_c 3.935
_cell_angle_alpha 90.00
_cell_angle_beta 90.00
_cell_angle_gamma 90.00
_symmetry_space_group_name_H-M 'P 1'
_symmetry_Int_Tables_number 1
loop_
_symmetry_equiv_pos_as_xyz
'x,y,z'
loop_
_atom_site_label
_atom_site_type_symbol
_atom_site_fract_x
_atom_site_fract_y
_atom_site_fract_z
N1 N 0.000 0.000 0.500
O1 O 0.000 0.500 0.000
O2 O 0.500 0.000 0.000
Ag1 Ag 0.500 0.500 0.500
V1 V 0.000 0.000 0.000
# E in eV/atom: -6.03


Entry 2:
# Rb3SrFe2F9 | the Alexandria database | GGA+U | optimized geometry
data_Rb3SrFe2F9
_chemical_formula_sum 'Rb3 Sr1 Fe2 F9'
_cell_length_a 6.187
_cell_length_b 6.187
_cell_length_c 7.724
_cell_angle_alpha 90.00
_cell_angle_beta 90.00
_cell_angle_gamma 120.00
_symmetry_space_group_name_H-M 'P 1'
_symmetry_Int_Tables_number 1
loop_
_symmetry_equiv_pos_as_xyz
'x,y,z'
loop_
_atom_site_label
_atom_site_type_symbol
_atom_site_fract_x
_atom_site_fract_y
_atom_site_fract_z
Rb1 Rb 0.333 0.667 0.683
Rb2 Rb 0.000 0.000 0.000
Rb3 Rb 0.667 0.333 0.317
Sr1 Sr 0.000 0.000 0.500
Fe1 Fe 0.333 0.667 0.152
Fe2 Fe 0.667 0.333 0.848
F1 F 0.823 0.177 0.687
F2 F 0.823 0.647 0.687
F3 F 0.353 0.177 0.687
F4 F 0.647 0.823 0.313
F5 F 0.177 0.353 0.313
F6 F 0.177 0.823 0.313
F7 F 0.500 0.000 0.000
F8 F 0.000 0.500 0.000
F9 F 0.500 0.500 0.000
# E in eV/atom: -4.92


Please write out number 2 again, unchanged.
# Rb3SrFe2F9 | the Alexandria database | GGA+U | optimized geometry
data_Rb3SrFe2F9
_chemical_formula_sum 'Rb3 Sr1 Fe2 F9'
_cell_length_a 6.187
_cell_length_b 6.187
_cell_length_c 7.724
_cell_angle_alpha 90.00
_cell_angle_beta 90.00
_cell_angle_gamma 120.00
_symmetry_space_group_name_H-M 'P 1'
_symmetry_Int_Tables_number 1
loop_
_symmetry_equiv_pos_as_xyz
'x,y,z'
loop_
_atom_site_label
_atom_site_type_symbol
_atom_site_fract_x
_atom_site_fract_y
_atom_site_fract_z
Rb1 Rb 0.333 0.667 0.683
Rb2 Rb 0.000 0.000 0.000
Rb3 Rb 0.667 0.333 0.317
Sr1 Sr 0.000 0.000 0.500
Fe1 Fe 0.333 0.667 0.152
Fe2 Fe 0.667 0.333 0.848
F1 F 0.823 0.177 0.687
F2 F 0.823 0.647 0.687
F3 F 0.353 0.177 0.687
F4 F 0.647 0.823 0.313
F5 F 0.177 0.353 0.313
F6 F 0.177 0.823 0.313
F7 F 0.500 0.000 0.000
F8 F 0.000 0.500 0.000
F9 F 0.500 0.500 0.000
# E in eV/atom: -4.92